No. 1
# Tl2Ni, relaxed, DFT PBE
# Crystal system ... orthorhombic
# ΔH_f (0 K) ... 0.266 eV/atom
# Theoretical density ... 10.76 g/cm³
data_Tl2Ni
_chemical_formula_sum 'Tl8 Ni4'
_cell_length_a 3.687
_cell_length_b 15.207
_cell_length_c 5.148
_cell_angle_alpha 90.00
_cell_angle_beta 90.00
_cell_angle_gamma 90.00
_space_group_name_H-M_alt 'C m c m'
_space_group_IT_number 63
_space_group_name_Hall '-C 2c 2'
loop_
_atom_site_label
_atom_site_fract_x
_atom_site_fract_y
_atom_site_fract_z
Tl1 0.000 0.065 0.250
Tl2 0.000 0.328 0.250
Ni1 0.000 0.304 0.750



No. 2
# Sm8Tl3Os2, relaxed, DFT PBE
# Crystal system ... monoclinic
# ΔH_f (0 K) ... -0.077 eV/atom
# Theoretical density ... 9.65 g/cm³
data_Sm8Tl3Os2
_chemical_formula_sum 'Sm16 Tl6 Os4'
_cell_length_a 18.069
_cell_length_b 8.264
_cell_length_c 5.061
_cell_angle_alpha 90.00
_cell_angle_beta 90.40
_cell_angle_gamma 90.00
_space_group_name_H-M_alt 'C 1 2/m 1'
_space_group_IT_number 12
loop_
_space_group_symop_operation_xyz
'x,y,z'
'-x,-y,-z'
'-x,y,-z'
'x,-y,z'
'x+1/2,y+1/2,z'
'-x+1/2,-y+1/2,-z'
'-x+1/2,y+1/2,-z'
'x+1/2,-y+1/2,z'
loop_
_atom_site_label
_atom_site_fract_x
_atom_site_fract_y
_atom_site_fract_z
Sm1 0.077 0.000 0.266
Sm2 0.161 0.500 0.229
Sm3 0.176 0.215 0.750
Tl1 0.000 0.297 0.000
Tl2 0.000 0.500 0.500
Os1 0.231 0.000 0.250



No. 3
# CaZnPt2, relaxed, DFT PBE
# Crystal system ... monoclinic
# ΔH_f (0 K) ... -0.558 eV/atom
# Theoretical density ... 11.70 g/cm³
data_CaZnPt2
_chemical_formula_sum 'Ca1 Zn1 Pt2'
_cell_length_a 2.989
_cell_length_b 4.764
_cell_length_c 4.938
_cell_angle_alpha 90.00
_cell_angle_beta 90.08
_cell_angle_gamma 90.00
_space_group_name_H-M_alt 'P 1 m 1'
_space_group_IT_number 6
loop_
_space_group_symop_operation_xyz
'x,y,z'
'x,-y,z'
loop_
_atom_site_label
_atom_site_fract_x
_atom_site_fract_y
_atom_site_fract_z
Ca1 0.000 0.000 0.000
Zn1 0.998 0.500 0.419
Pt1 0.500 0.000 0.495
Pt2 0.500 0.500 0.887



No. 4
# Ho3Hg2H, relaxed, DFT PBE
# Calculated total energy ... -3.3600 eV/atom
# Crystal system ... monoclinic
# Theoretical density ... 10.84 g/cm³
data_Ho3Hg2H
_chemical_formula_sum 'Ho12 Hg8 H4'
_cell_length_a 10.638
_cell_length_b 7.026
_cell_length_c 7.747
_cell_angle_alpha 90.00
_cell_angle_beta 108.29
_cell_angle_gamma 90.00
_space_group_name_H-M_alt 'C 1 2/c 1'
_space_group_IT_number 15
loop_
_space_group_symop_operation_xyz
'x,y,z'
'-x,-y,-z'
'-x,y,-z+1/2'
'x,-y,z+1/2'
'x+1/2,y+1/2,z'
'-x+1/2,-y+1/2,-z'
'-x+1/2,y+1/2,-z+1/2'
'x+1/2,-y+1/2,z+1/2'
loop_
_atom_site_label
_atom_site_fract_x
_atom_site_fract_y
_atom_site_fract_z
Ho1 0.000 0.100 0.250
Ho2 0.136 0.422 0.962
Hg1 0.176 0.194 0.647
H1 0.000 0.409 0.250



No. 5
# Ti2InPd6, relaxed, DFT PBE
# Crystal system ... monoclinic
# ΔH_f (0 K) ... -0.405 eV/atom
# Theoretical density ... 9.41 g/cm³
data_Ti2InPd6
_chemical_formula_sum 'Ti4 In2 Pd12'
_cell_length_a 14.140
_cell_length_b 7.483
_cell_length_c 2.889
_cell_angle_alpha 90.00
_cell_angle_beta 101.49
_cell_angle_gamma 90.00
_space_group_name_H-M_alt 'C 1 2/m 1'
_space_group_IT_number 12
loop_
_space_group_symop_operation_xyz
'x,y,z'
'-x,-y,-z'
'-x,y,-z'
'x,-y,z'
'x+1/2,y+1/2,z'
'-x+1/2,-y+1/2,-z'
'-x+1/2,y+1/2,-z'
'x+1/2,-y+1/2,z'
loop_
_atom_site_label
_atom_site_fract_x
_atom_site_fract_y
_atom_site_fract_z
Ti1 0.164 0.000 0.162
In1 0.000 0.500 0.500
Pd1 0.000 0.182 0.000
Pd2 0.170 0.306 0.669



No. 6
# ScPt2Rh, relaxed, DFT PBE
# Crystal system ... monoclinic
# ΔH_f (0 K) ... -0.665 eV/atom
# Theoretical density ... 13.87 g/cm³
data_ScPt2Rh
_chemical_formula_sum 'Sc2 Pt4 Rh2'
_cell_length_a 9.350
_cell_length_b 2.933
_cell_length_c 4.802
_cell_angle_alpha 90.00
_cell_angle_beta 101.82
_cell_angle_gamma 90.00
_space_group_name_H-M_alt 'C 1 m 1'
_space_group_IT_number 8
loop_
_space_group_symop_operation_xyz
'x,y,z'
'x,-y,z'
'x+1/2,y+1/2,z'
'x+1/2,-y+1/2,z'
loop_
_atom_site_label
_atom_site_fract_x
_atom_site_fract_y
_atom_site_fract_z
Sc1 0.000 0.000 0.000
Pt1 0.250 0.000 0.747
Pt2 0.496 0.000 0.493
Rh1 0.245 0.500 0.254



No. 7
# La6SmHo8, relaxed, DFT PBE
# Crystal system ... trigonal
# ΔH_f (0 K) ... 0.117 eV/atom
# Theoretical density ... 7.50 g/cm³
data_La6SmHo8
_chemical_formula_sum 'La18 Sm3 Ho24'
_cell_length_a 9.1168
_cell_length_b 9.1168
_cell_length_c 21.2578
_cell_angle_alpha 90.00
_cell_angle_beta 90.00
_cell_angle_gamma 120.00
_space_group_name_H-M_alt 'R -3'
_space_group_IT_number 148
_space_group_name_Hall '-R 3'
loop_
_atom_site_label
_atom_site_fract_x
_atom_site_fract_y
_atom_site_fract_z
La1 0.0541 0.2473 0.2132
Sm1 0.0000 0.0000 0.5000
Ho1 0.0000 0.0000 0.0767
Ho2 0.0799 0.5682 0.3060



No. 8
# KCd4Rh, relaxed, DFT PBE
# Crystal system ... cubic
# ΔH_f (0 K) ... 0.203 eV/atom
# Theoretical density ... 7.12 g/cm³
# Excess energy over the best structure of this formula in the dataset ... 0.282 eV/atom
data_KCd4Rh
_chemical_formula_sum 'K4 Cd16 Rh4'
_cell_length_a 8.201
_cell_length_b 8.201
_cell_length_c 8.201
_cell_angle_alpha 90.00
_cell_angle_beta 90.00
_cell_angle_gamma 90.00
_space_group_name_H-M_alt 'F -4 3 m'
_space_group_IT_number 216
_space_group_name_Hall 'F -4 2 3'
loop_
_atom_site_label
_atom_site_fract_x
_atom_site_fract_y
_atom_site_fract_z
K1 0.000 0.000 0.000
Cd1 0.124 0.124 0.376
Rh1 0.250 0.250 0.750